<one>
Material: MnSe2O5
Method: DFT, GGA+U
State: relaxed

Unit cell a=8.172 b=11.066 c=6.001 alpha=90.00 beta=116.30 gamma=90.00
Space group C2/c (No. 15)
Asymmetric unit:
Mn  0.000  0.083  0.250 [4 per cell]
Se  0.157  0.361  0.132 [8 per cell]
O  0.000  0.425  0.250 [4 per cell]
O  0.150  0.065  0.660 [8 per cell]
O  0.189  0.216  0.228 [8 per cell]

Summary:
Mass density: 4.00 g/cm3



<two>
Material: MnSe2O5
Method: DFT, GGA+U
State: relaxed

Unit cell a=6.967 b=10.835 c=6.407 alpha=90.00 beta=90.00 gamma=90.00
Space group Pbcn (No. 60)
Asymmetric unit:
Mn  0.000  0.060  0.250 [4 per cell]
Se  0.134  0.344  0.041 [8 per cell]
O  0.000  0.430  0.250 [4 per cell]
O  0.160  0.068  0.548 [8 per cell]
O  0.199  0.213  0.167 [8 per cell]

Summary:
Mass density: 4.02 g/cm3



Quick look at relative energies in kJ/mol of atoms: <one> 0.6; <two> 0.0.



<one>
Material: MnSe2O6
Method: DFT, GGA+U
State: relaxed

Unit cell a=5.168 b=6.906 c=9.013 alpha=90.00 beta=124.38 gamma=90.00
Space group P2_1/c (No. 14)
Asymmetric unit:
Mn  0.000  0.000  0.000 [2 per cell]
Se  0.311  0.174  0.801 [4 per cell]
O  0.193  0.086  0.245 [4 per cell]
O  0.289  0.719  0.586 [4 per cell]
O  0.292  0.163  0.989 [4 per cell]

Summary:
Mass density: 3.86 g/cm3



<two>
Material: MnSe2O6
Method: DFT, GGA+U
State: relaxed

Unit cell a=9.160 b=10.057 c=6.084 alpha=90.00 beta=113.31 gamma=90.00
Space group C2/c (No. 15)
Asymmetric unit:
Mn  0.000  0.076  0.250 [4 per cell]
Se  0.185  0.369  0.252 [8 per cell]
O  0.107  0.084  0.605 [8 per cell]
O  0.149  0.410  0.971 [8 per cell]
O  0.186  0.196  0.253 [8 per cell]

Summary:
Mass density: 3.98 g/cm3



Quick look at relative energies in kJ/mol of atoms: <one> 0.0; <two> 19.6.



<one>
Material: Mn3SiO6
Method: DFT, GGA+U
State: relaxed

Unit cell a=4.856 b=5.086 c=9.388 alpha=90.00 beta=120.98 gamma=90.00
Space group P2_1/c (No. 14)
Asymmetric unit:
Mn  0.000  0.000  0.000 [2 per cell]
Mn  0.197  0.001  0.698 [4 per cell]
Si  0.500  0.000  0.500 [2 per cell]
O  0.178  0.215  0.341 [4 per cell]
O  0.195  0.669  0.001 [4 per cell]
O  0.496  0.217  0.658 [4 per cell]

Summary:
Mass density: 4.83 g/cm3



<two>
Material: Mn3SiO6
Method: DFT, GGA+U
State: relaxed

Unit cell a=8.264 b=11.060 c=4.945 alpha=90.00 beta=90.00 gamma=90.00
Space group Cmc2_1 (No. 36)
Asymmetric unit:
Mn  0.000  0.088  0.000 [4 per cell]
Mn  0.192  0.398  0.943 [8 per cell]
Si  0.000  0.293  0.388 [4 per cell]
O  0.000  0.321  0.715 [4 per cell]
O  0.000  0.423  0.211 [4 per cell]
O  0.154  0.218  0.264 [8 per cell]
O  0.171  0.034  0.713 [8 per cell]

Summary:
Mass density: 4.25 g/cm3



Quick look at relative energies in kJ/mol of atoms: <one> 28.2; <two> 0.0.